# 1
The following is a GGA-PBE calculation of crystalline AlCuRe2 at its relaxed geometry, from the Alexandria database.

Cell lengths 3.0914, 4.2729, 4.3106 Å; angles 90.00, 90.00, 90.00 degrees
With the nearest neighbours (Å) after each atom.
Fractional positions:
Al: 0.0000 0.0000 0.0000  4 Cu 2.64, 4 Re 2.65
Cu: 0.5000 0.5000 0.0000  4 Al 2.64, 4 Re 2.65
Re: 0.0000 0.5000 0.5000  4 Re 2.64, 4 Cu 2.65
Re: 0.5000 0.0000 0.5000  4 Re 2.64, 4 Al 2.65

Results
Theoretical density = 13.5 g cm⁻³
Formation energy from the elements = 0.077 eV/atom
DFT total energy = -8.106 eV per atom
DOS at the Fermi energy = 2.6 states/eV/f.u.

=====

# 2
The following is a GGA-PBE calculation of crystalline Al2CuRe at its relaxed geometry, from the Alexandria database.

Cell lengths 4.1389, 4.1389, 3.2228 Å; angles 90.00, 90.00, 90.00 degrees
With the nearest neighbours (Å) after each atom.
Fractional positions:
Al: 0.0000 0.5000 0.0000  4 Cu 2.62, 4 Re 2.62, 4 Al 2.93
Al: 0.5000 0.0000 0.0000  4 Cu 2.62, 4 Re 2.62, 4 Al 2.93
Cu: 0.0000 0.0000 0.5000  8 Al 2.62, 4 Re 2.93
Re: 0.5000 0.5000 0.5000  8 Al 2.62, 4 Cu 2.93

Results
Theoretical density = 9.1 g cm⁻³
Formation energy from the elements = -0.197 eV/atom
DFT total energy = -6.204 eV per atom
DOS at the Fermi energy = 1.4 states/eV/f.u.

=====

# 3
The following is a GGA-PBE calculation of crystalline AlCuRe3 at its relaxed geometry, from the Alexandria database.

Cell lengths 4.4439, 4.4439, 4.4439 Å; angles 90.00, 90.00, 90.00 degrees
With the nearest neighbours (Å) after each atom.
Fractional positions:
Al: 0.0000 0.0000 0.0000  12 Re 3.14
Cu: 0.5000 0.5000 0.5000  6 Re 2.22
Re: 0.0000 0.5000 0.5000  2 Cu 2.22
Re: 0.5000 0.0000 0.5000  2 Cu 2.22
Re: 0.5000 0.5000 0.0000  2 Cu 2.22

Results
Theoretical density = 12.3 g cm⁻³
Formation energy from the elements = 1.876 eV/atom
DFT total energy = -7.160 eV per atom
DOS at the Fermi energy = 6.7 states/eV/f.u.

=====

# 4
The following is a GGA-PBE calculation of crystalline Al2CuReSn at its relaxed geometry, from the Alexandria database.

Cell lengths 4.8069, 4.8069, 4.8067 Å; angles 90.00, 90.00, 90.00 degrees
With the nearest neighbours (Å) after each atom.
Fractional positions:
Al: 0.0000 0.5000 0.0000  2 Re 2.40
Al: 0.5000 0.0000 0.0000  2 Re 2.40
Cu: 0.0000 0.0000 0.5000  2 Re 2.40
Re: 0.0000 0.0000 0.0000  2 Cu 2.40, 4 Al 2.40
Sn: 0.5000 0.5000 0.5000  8 Al 3.40, 4 Cu 3.40

Results
Theoretical density = 6.3 g cm⁻³
Formation energy from the elements = 0.655 eV/atom
DFT total energy = -4.951 eV per atom
DOS at the Fermi energy = 3.4 states/eV/f.u.